(1)
GGA-PBE LiZr2Cl8, relaxed; spin magnetization = 1.00 μB/f.u.; excess energy over the best structure of this formula in the dataset = 98 meV/atom; uncorrected formation energy = -17.7 eV/f.u.; volume = 308.44 Å³/f.u.
1.0
5.160 0.000 0.000
0.000 7.192 -4.152
0.001 0.001 8.310
Li Cl Zr
1 8 2
Direct
0.000 0.000 0.000 Li
0.258 0.667 0.333 Cl
0.248 0.667 0.832 Cl
0.742 0.333 0.667 Cl
0.752 0.333 0.168 Cl
0.248 0.166 0.334 Cl
0.248 0.168 0.834 Cl
0.752 0.834 0.666 Cl
0.752 0.832 0.166 Cl
0.236 0.333 0.667 Zr
0.764 0.667 0.333 Zr

***

(2)
GGA-PBE Li2ZnH2, relaxed; spin magnetization = 0.00 μB/f.u.; volume = 49.17 Å³/f.u.; calculated total energy = -2.427 eV per atom
1.0
5.949 0.000 0.000
0.000 5.949 0.000
0.000 0.000 2.778
Li H Zn
4 4 2
Direct
0.835 0.335 0.500 Li
0.165 0.665 0.500 Li
0.665 0.835 0.500 Li
0.335 0.165 0.500 Li
0.162 0.338 0.000 H
0.838 0.662 0.000 H
0.662 0.162 0.000 H
0.338 0.838 0.000 H
0.500 0.500 0.000 Zn
0.000 0.000 0.000 Zn

***

(3)
GGA-PBE SmDy2Zn9, relaxed; spin magnetization = 0.00 μB/f.u.; volume = 221.90 Å³/f.u.; calculated total energy = -2.435 eV per atom
1.0
-0.595 3.119 -4.440
-4.441 3.123 -0.566
2.355 8.540 2.327
Zn Dy Sm
9 2 1
Direct
0.414 0.923 0.248 Zn
0.586 0.586 0.752 Zn
0.923 0.414 0.248 Zn
0.414 0.414 0.248 Zn
0.500 0.500 0.500 Zn
0.665 0.665 0.005 Zn
0.335 0.335 0.995 Zn
0.077 0.586 0.752 Zn
0.586 0.077 0.752 Zn
0.860 0.860 0.421 Dy
0.140 0.140 0.579 Dy
0.000 0.000 0.000 Sm